No. 1
# PmPuAlSn

An optimized crystal structure of PmPuAlSn (PBE-GGA, the Alexandria database).

Lattice parameters (Å, degrees): 5.2888 5.2888 5.2888 60.00 60.00 60.00
Sites, in units of the cell vectors:
Al 0.7500 0.7500 0.7500
Pm 0.5000 0.5000 0.5000
Sn 0.2500 0.2500 0.2500
Pu 0.0000 0.0000 0.0000

Results
As for the electronic total energy: -7.006 eV per atom. The calculation puts the formation energy at -0.30 eV per atom.


No. 2
# TbPmPuAl

An optimized crystal structure of TbPmPuAl (PBE-GGA, the Alexandria database).

Lattice parameters (Å, degrees): 5.3540 5.3540 5.3540 60.00 60.00 60.00
Sites, in units of the cell vectors:
Pm 0.5000 0.5000 0.5000
Tb 0.2500 0.2500 0.2500
Al 0.0000 0.0000 0.0000
Pu 0.7500 0.7500 0.7500

Results
As for the electronic total energy: -6.782 eV per atom. The calculation puts the formation energy at 0.08 eV per atom.


No. 3
# PmTmPuAl

An optimized crystal structure of PmTmPuAl (PBE-GGA, the Alexandria database).

Lattice parameters (Å, degrees): 5.3299 5.3299 5.3299 60.00 60.00 60.00
Sites, in units of the cell vectors:
Tm 0.2500 0.2500 0.2500
Pm 0.0000 0.0000 0.0000
Al 0.7500 0.7500 0.7500
Pu 0.5000 0.5000 0.5000

Results
As for the electronic total energy: -6.795 eV per atom. The calculation puts the formation energy at 0.03 eV per atom.


No. 4
# Rb2PmAlSe4

An optimized crystal structure of Rb2PmAlSe4 (PBE-GGA, the Alexandria database).

Lattice parameters (Å, degrees): 8.7439 8.7439 8.9699 120.85 120.85 90.36
Sites, in units of the cell vectors:
Rb 0.5000 0.0000 0.0000
Rb 0.5000 0.0000 0.5000
Rb 0.0000 0.0000 0.5000
Rb 0.5000 0.5000 0.0000
Pm 0.0000 0.5000 0.0000
Pm 0.0000 0.5000 0.5000
Al 0.5000 0.5000 0.5000
Al 0.0000 0.0000 0.0000
Se 0.1978 0.7549 0.9763
Se 0.7451 0.3022 0.5237
Se 0.2549 0.6978 0.4763
Se 0.8022 0.2451 0.0237
Se 0.7604 0.7401 0.9447
Se 0.7599 0.7396 0.5553
Se 0.2401 0.2604 0.4447
Se 0.2396 0.2599 0.0553

Results
As for the electronic total energy: -4.251 eV per atom. The raw formation energy comes out at -1.2052 eV/atom.


No. 5
# Rb3Pm3AlTe8

An optimized crystal structure of Rb3Pm3AlTe8 (PBE-GGA, the Alexandria database).

Lattice parameters (Å, degrees): 8.8974 8.9008 10.2743 115.66 90.00 119.99
Sites, in units of the cell vectors:
Rb 0.0000 0.0000 0.0000
Rb 0.0000 0.5000 0.0000
Rb 0.5000 0.5000 0.0000
Pm 0.5000 0.0000 0.5000
Pm 0.5000 0.5000 0.5000
Pm 0.0000 0.5000 0.5000
Al 0.0000 0.0000 0.5000
Te 0.2646 0.5291 0.2938
Te 0.7355 0.4709 0.7062
Te 0.7843 0.5686 0.3110
Te 0.2157 0.4314 0.6890
Te 0.7842 0.0268 0.3109
Te 0.2158 0.9732 0.6891
Te 0.2427 0.0268 0.3108
Te 0.7573 0.9732 0.6892

Results
As for the electronic total energy: -4.172 eV per atom. The raw formation energy comes out at -1.1036 eV/atom.


No. 6
# Pm2AlRe

An optimized crystal structure of Pm2AlRe (PBE-GGA, the Alexandria database).

Lattice parameters (Å, degrees): 3.4902 3.4902 9.6184 79.55 79.55 60.00
Sites, in units of the cell vectors:
Re 0.0000 0.0000 0.0000
Al 0.5000 0.5000 0.5000
Pm 0.2578 0.2578 0.2266
Pm 0.7422 0.7422 0.7734

Results
As for the electronic total energy: -6.042 eV per atom. The calculation puts the formation energy at 0.38 eV per atom.


No. 7
# PmAl6Re

An optimized crystal structure of PmAl6Re (PBE-GGA, the Alexandria database).

Lattice parameters (Å, degrees): 6.0462 6.0462 6.6692 63.05 63.05 60.00
Sites, in units of the cell vectors:
Pm 0.5000 0.5000 0.5000
Al 0.9047 0.9047 0.7365
Al 0.4542 0.9047 0.7365
Al 0.0953 0.5458 0.2635
Al 0.5458 0.0953 0.2635
Al 0.0953 0.0953 0.2635
Al 0.9047 0.4542 0.7365
Re 0.0000 0.0000 0.0000

Results
As for the electronic total energy: -4.795 eV per atom. The calculation puts the formation energy at 0.16 eV per atom.


No. 8
# Pm2AlRe3

An optimized crystal structure of Pm2AlRe3 (PBE-GGA, the Alexandria database).

Lattice parameters (Å, degrees): 5.3939 5.3939 5.5791 90.01 118.91 119.98
Sites, in units of the cell vectors:
Pm 0.7560 0.3778 0.1338
Pm 0.2440 0.6222 0.8662
Al 0.0000 0.0000 0.0000
Re 0.5000 0.5000 0.5000
Re 0.0000 0.0000 0.5000
Re 0.5000 0.0000 0.5000

Results
As for the electronic total energy: -8.613 eV per atom. The calculation puts the formation energy at -0.18 eV per atom.


No. 9
# PmAl3Re

An optimized crystal structure of PmAl3Re (PBE-GGA, the Alexandria database).

Lattice parameters (Å, degrees): 4.7758 4.7758 4.7758 90.00 90.00 90.00
Sites, in units of the cell vectors:
Re 0.0000 0.0000 0.0000
Al 0.0000 0.5000 0.0000
Al 0.0000 0.0000 0.5000
Al 0.5000 0.0000 0.0000
Pm 0.5000 0.5000 0.5000

Results
As for the electronic total energy: -5.875 eV per atom. The calculation puts the formation energy at -0.19 eV per atom.


No. 10
# PmAl2Re

An optimized crystal structure of PmAl2Re (PBE-GGA, the Alexandria database).

Lattice parameters (Å, degrees): 3.2070 3.2070 7.3761 90.00 90.00 90.00
Sites, in units of the cell vectors:
Re 0.5000 0.5000 0.0000
Al 0.0000 0.0000 0.8163
Al 0.0000 0.0000 0.1837
Pm 0.5000 0.5000 0.5000

Results
As for the electronic total energy: -6.341 eV per atom. The calculation puts the formation energy at -0.17 eV per atom.


No. 11
# PmAl2Re2Si

An optimized crystal structure of PmAl2Re2Si (PBE-GGA, the Alexandria database).

Lattice parameters (Å, degrees): 4.5288 4.5288 5.6634 90.00 90.00 90.00
Sites, in units of the cell vectors:
Pm 0.0000 0.0000 0.5000
Al 0.5000 0.5000 0.7414
Al 0.5000 0.5000 0.2586
Re 0.5000 0.0000 0.0000
Re 0.0000 0.5000 0.0000
Si 0.0000 0.0000 0.0000

Results
As for the electronic total energy: -7.211 eV per atom. The raw formation energy comes out at -0.1188 eV/atom.


No. 12
# Pm5AlRh2

An optimized crystal structure of Pm5AlRh2 (PBE-GGA, the Alexandria database).

Lattice parameters (Å, degrees): 7.9280 7.9280 8.7996 116.77 116.77 90.00
Sites, in units of the cell vectors:
Pm 0.5251 0.6988 0.7239
Pm 0.8012 0.9749 0.2761
Pm 0.0000 0.0000 0.0000
Pm 0.5000 0.5000 0.0000
Pm 0.1988 0.0251 0.7239
Pm 0.6988 0.1988 0.7239
Pm 0.0251 0.5251 0.7239
Pm 0.3012 0.8012 0.2761
Pm 0.9749 0.4749 0.2761
Pm 0.4749 0.3012 0.2761
Al 0.7500 0.7500 0.5000
Al 0.2500 0.2500 0.5000
Rh 0.1354 0.3646 0.0000
Rh 0.6354 0.1354 0.0000
Rh 0.3646 0.8646 0.0000
Rh 0.8646 0.6354 0.0000

Results
As for the electronic total energy: -5.767 eV per atom. The calculation puts the formation energy at -0.49 eV per atom.